w:
First-principles (PBE) data for a relaxed LiIrN2 crystal, as listed in Alexandria.

Total magnetic moment ... 0.3 μB per cell

abc: 2.9109 2.9109 19.3553
angles: 90.00 90.00 120.00
Space group R-3m (No. 166, hexagonal axes)
Unique sites:
Li1 0.0000 0.0000 0.0000 x3
Ir1 0.0000 0.0000 0.5000 x3
N1 0.0000 0.0000 0.4070 x6



x:
First-principles (PBE) data for a relaxed LiIrN2 crystal, as listed in Alexandria.

Total magnetic moment ... 0.0 μB per cell

abc: 5.707 6.581 5.341
angles: 90.00 90.00 90.00
Space group Pna2_1 (No. 33)
Unique sites:
Li1 0.091 0.127 0.000 x4
Ir1 0.078 0.643 0.013 x4
N1 0.059 0.598 0.364 x4
N2 0.105 0.131 0.398 x4



y:
First-principles (PBE) data for a relaxed LiIrN2 crystal, as listed in Alexandria.

Total magnetic moment ... 0.0 μB per cell

abc: 4.598 4.598 9.373
angles: 90.00 90.00 90.00
Space group I-42d (No. 122)
Unique sites:
Li1 0.000 0.000 0.000 x4
Ir1 0.000 0.000 0.500 x4
N1 0.214 0.250 0.625 x8



z:
First-principles (PBE) data for a relaxed LiIrN2 crystal, as listed in Alexandria.

Total magnetic moment ... 0.0 μB per cell

abc: 3.1696 3.1696 16.9124
angles: 90.00 90.00 120.00
Space group R-3m (No. 166, hexagonal axes)
Unique sites:
Li1 0.0000 0.0000 0.0000 x3
Ir1 0.0000 0.0000 0.5000 x3
N1 0.0000 0.0000 0.1106 x6



Most favorable first, least favorable last: y, x, z, w



w:
First-principles (PBE) data for a relaxed LiIr3N crystal, as listed in Alexandria.

Total magnetic moment ... 0.0 μB per cell

abc: 4.054 4.054 4.054
angles: 90.00 90.00 90.00
Space group Pm-3m (No. 221)
Unique sites:
Li1 0.000 0.000 0.000 x1
Ir1 0.000 0.500 0.500 x3
N1 0.500 0.500 0.500 x1



x:
First-principles (PBE) data for a relaxed LiIr3N crystal, as listed in Alexandria.

Total magnetic moment ... 0.0 μB per cell

abc: 4.094 4.094 4.094
angles: 90.00 90.00 90.00
Space group Pm-3m (No. 221)
Unique sites:
Li1 0.000 0.000 0.000 x1
Ir1 0.000 0.000 0.500 x3
N1 0.500 0.500 0.500 x1



Most favorable first, least favorable last: w, x